A relaxed Hg2AuSe crystal, computed with PBE.

For the density of states at the Fermi level, the calculation gives 0.48 states/eV per atom. The total DFT energy (no corrections) is -1.640 eV/atom.

Unit cell a=2.842 b=2.842 c=11.994 alpha=90.00 beta=90.00 gamma=90.00
Space group P4/mmm (No. 123)
One atom of each set of equivalent atoms:
Hg 0.000 0.000 0.226 [2 per cell]
Au 0.500 0.500 0.000 [1 per cell]
Se 0.500 0.500 0.500 [1 per cell]